(1)
A plane-wave DFT calculation with PBE was carried out for a relaxed structure of Pa4AsRh12.

spin magnetization: 0.00 μB per formula unit
space-group type: Im-3m
formation energy: -0.823 eV/atom
energy: -144.85 eV per cell

Cell: 7.204 7.204 7.204 Å, 109.47 109.47 109.47°
Sites, in units of the cell vectors:
Pa 0.000 0.000 0.500
Pa 0.000 0.500 0.000
Pa 0.500 0.000 0.000
Pa 0.500 0.500 0.500
As 0.000 0.000 0.000
Rh 0.000 0.282 0.282
Rh 0.000 0.718 0.718
Rh 0.250 0.500 0.750
Rh 0.250 0.750 0.500
Rh 0.282 0.000 0.282
Rh 0.282 0.282 0.000
Rh 0.500 0.250 0.750
Rh 0.500 0.750 0.250
Rh 0.718 0.000 0.718
Rh 0.718 0.718 0.000
Rh 0.750 0.250 0.500
Rh 0.750 0.500 0.250

(2)
A plane-wave DFT calculation with PBE was carried out for a relaxed structure of PaAsRh.

spin magnetization: 0.00 μB per formula unit
space-group type: Cmcm
formation energy: -0.805 eV/atom
energy: -47.82 eV per cell

Cell: 5.025 5.025 6.510 Å, 90.00 90.00 133.90°
Sites, in units of the cell vectors:
Pa 0.175 0.825 0.750
Pa 0.825 0.175 0.250
As 0.500 0.500 0.000
As 0.500 0.500 0.500
Rh 0.131 0.869 0.250
Rh 0.869 0.131 0.750

(3)
A plane-wave DFT calculation with PBE was carried out for a relaxed structure of PaAsRh2.

polymorph energy (0 for the lowest one): 41 kJ/mol of formula units
spin magnetization: 0.00 μB per formula unit
space-group type: R-3m
formation energy: -0.723 eV/atom
energy: -31.74 eV per cell

Cell: 5.424 5.424 5.424 Å, 45.15 45.15 45.15°
Sites, in units of the cell vectors:
Pa 0.000 0.000 0.000
As 0.500 0.500 0.500
Rh 0.223 0.223 0.223
Rh 0.777 0.777 0.777